{
  "formula": "Pb3Se",
  "functional": "PBE",
  "state": "optimized geometry",
  "raw_formation_energy_ev_per_atom": -0.136,
  "sg": "Pmm2 (25)",
  "final_energy_ev_per_atom": -3.79,
  "lattice_angstrom": [[3.937, 0.000, 0.000], [0.000, 6.201, 0.000], [0.000, 0.000, 5.406]],
  "species": ["Pb", "Pb", "Pb", "Se"],
  "fractional_positions": [[0.000, 0.000, 0.000], [0.000, 0.500, 0.142], [0.500, 0.000, 0.510], [0.500, 0.500, 0.521]]
}

=====

{
  "formula": "LiHoSe",
  "functional": "PBE",
  "state": "optimized geometry",
  "raw_formation_energy_ev_per_atom": -1.047,
  "sg": "P-6m2 (187)",
  "final_energy_ev_per_atom": -4.37,
  "lattice_angstrom": [[4.101, 0.000, 0.000], [-2.050, 3.551, 0.000], [0.000, 0.000, 3.915]],
  "species": ["Li", "Ho", "Se"],
  "fractional_positions": [[0.000, 0.000, 0.000], [0.667, 0.333, 0.500], [0.333, 0.667, 0.000]]
}

=====

{
  "formula": "MnP2SeCl",
  "functional": "PBE",
  "state": "optimized geometry",
  "de_polymorph_kcal_per_mol_atoms": 0.00,
  "raw_formation_energy_ev_per_atom": 0.392,
  "sg": "P4/mmm (123)",
  "final_energy_ev_per_atom": -4.67,
  "lattice_angstrom": [[4.558, 0.000, 0.000], [0.000, 4.558, 0.000], [0.000, 0.000, 4.380]],
  "species": ["Mn", "P", "P", "Se", "Cl"],
  "fractional_positions": [[0.000, 0.000, 0.000], [0.000, 0.500, 0.000], [0.500, 0.000, 0.000], [0.500, 0.500, 0.500], [0.000, 0.000, 0.500]]
}

=====

{
  "formula": "Na2CrC",
  "functional": "PBE",
  "state": "optimized geometry",
  "ef_ev_per_fu": 2.9,
  "sg": "I-42d (122)",
  "final_energy_ev_per_atom": -4.65,
  "lattice_angstrom": [[-5.127, 5.127, 1.914], [5.127, -5.127, 1.914], [5.127, 5.127, -1.914]],
  "species": ["Na", "Na", "Na", "Na", "Cr", "Cr", "C", "C"],
  "fractional_positions": [[0.375, 0.175, 0.300], [0.825, 0.125, 0.200], [0.875, 0.075, 0.700], [0.925, 0.625, 0.800], [0.250, 0.750, 0.500], [0.500, 0.500, 0.000], [0.000, 0.000, 0.000], [0.750, 0.250, 0.500]]
}

=====

{
  "formula": "Ba3OsF",
  "functional": "PBE",
  "state": "optimized geometry",
  "de_polymorph_kcal_per_mol_atoms": 0.00,
  "raw_formation_energy_ev_per_atom": -0.448,
  "sg": "Pm-3m (221)",
  "final_energy_ev_per_atom": -4.22,
  "lattice_angstrom": [[5.318, 0.000, 0.000], [0.000, 5.318, 0.000], [0.000, 0.000, 5.318]],
  "species": ["Ba", "Ba", "Ba", "Os", "F"],
  "fractional_positions": [[0.000, 0.000, 0.500], [0.000, 0.500, 0.000], [0.500, 0.000, 0.000], [0.500, 0.500, 0.500], [0.000, 0.000, 0.000]]
}

=====

{
  "formula": "Pa3C2S3",
  "functional": "PBE",
  "state": "optimized geometry",
  "raw_formation_energy_ev_per_atom": -0.756,
  "sg": "P6_3/mcm (193)",
  "final_energy_ev_per_atom": -8.17,
  "lattice_angstrom": [[7.589, 0.000, 0.000], [-3.794, 6.572, 0.000], [0.000, 0.000, 5.583]],
  "species": ["Pa", "Pa", "Pa", "Pa", "Pa", "Pa", "C", "C", "C", "C", "S", "S", "S", "S", "S", "S"],
  "fractional_positions": [[0.000, 0.402, 0.250], [0.000, 0.598, 0.750], [0.402, 0.000, 0.250], [0.402, 0.402, 0.750], [0.598, 0.000, 0.750], [0.598, 0.598, 0.250], [0.333, 0.667, 0.000], [0.333, 0.667, 0.500], [0.667, 0.333, 0.000], [0.667, 0.333, 0.500], [0.000, 0.242, 0.750], [0.000, 0.758, 0.250], [0.242, 0.000, 0.750], [0.242, 0.242, 0.250], [0.758, 0.000, 0.250], [0.758, 0.758, 0.750]]
}